PBE Hg2SbAs, relaxed; raw formation energy = 0.59 eV per formula unit; ΔE to the lowest computed polymorph = 112 meV per atom; total magnetization = 0.0 μB/f.u.; total energy = -8.78 eV per formula unit
1.0
3.5558 0.0000 0.0000
0.0000 3.5558 0.0000
0.0000 0.0000 8.8917
Sb As Hg
1 1 2
Direct
0.0000 0.0000 0.5563 Sb
0.5000 0.5000 0.7059 As
0.0000 0.0000 0.9897 Hg
0.5000 0.5000 0.2482 Hg